(1)
Computed, not measured: crystalline CaCoIr2 at its relaxed geometry at the PBE level of DFT.

V in Å³ per atom: 16.1
ΔE to the lowest computed polymorph in eV/atom: 0.234
Formation energy in eV/atom: 0.298

Cell lengths 4.9599, 4.9599, 4.9599 Å; angles 132.87, 132.87, 68.85 degrees
With the nearest neighbours (Å) after each atom.
Atoms (fractional coordinates):
1 Ca 0.0000 0.0000 0.0000  4 Co 2.80, 8 Ir 2.85
2 Co 0.5000 0.5000 0.0000  4 Ca 2.80, 8 Ir 2.85
3 Ir 0.2500 0.7500 0.5000  4 Ir 2.80, 4 Co 2.85, 4 Ca 2.85
4 Ir 0.7500 0.2500 0.5000  4 Ir 2.80, 4 Co 2.85, 4 Ca 2.85

(2)
Computed, not measured: crystalline CaCo3Ir at its relaxed geometry at the PBE level of DFT.

V in Å³ per atom: 16.0
ΔE to the lowest computed polymorph in eV/atom: 1.315
Formation energy in eV/atom: 2.016

Cell lengths 4.3094, 4.3094, 4.3094 Å; angles 90.00, 90.00, 90.00 degrees
With the nearest neighbours (Å) after each atom.
Atoms (fractional coordinates):
1 Ca 0.0000 0.0000 0.0000  6 Co 2.15
2 Co 0.0000 0.0000 0.5000  2 Ca 2.15
3 Co 0.0000 0.5000 0.0000  2 Ca 2.15
4 Co 0.5000 0.0000 0.0000  2 Ca 2.15
5 Ir 0.5000 0.5000 0.5000  12 Co 3.05

(3)
Computed, not measured: crystalline CaCoIr2 at its relaxed geometry at the PBE level of DFT.

V in Å³ per atom: 16.5
ΔE to the lowest computed polymorph in eV/atom: 0.137
Formation energy in eV/atom: 0.202

Cell lengths 5.6594, 5.6594, 5.6594 Å; angles 150.91, 131.12, 57.90 degrees
With the nearest neighbours (Å) after each atom.
Atoms (fractional coordinates):
1 Ca 0.0000 0.0000 0.0000  4 Ir 2.74, 2 Ca 2.84
2 Co 0.2804 0.7804 0.5000  6 Ir 2.55-2.80, 2 Co 2.84
3 Ir 0.4941 0.4941 0.0000  2 Co 2.55, 4 Ir 2.65-2.84, 4 Ca 2.74
4 Ir 0.7195 0.2195 0.5000  4 Ir 2.65-2.84, 4 Co 2.80

(4)
Computed, not measured: crystalline CaCoIr2 at its relaxed geometry at the PBE level of DFT.

V in Å³ per atom: 15.9
ΔE to the lowest computed polymorph in eV/atom: 0.269
Formation energy in eV/atom: 0.333

Cell lengths 4.5575, 4.5575, 3.0607 Å; angles 90.00, 90.00, 90.00 degrees
With the nearest neighbours (Å) after each atom.
Atoms (fractional coordinates):
1 Ca 0.0000 0.0000 0.0000  8 Ir 2.74, 2 Ca 3.06
2 Co 0.5000 0.5000 0.0000  8 Ir 2.74, 2 Co 3.06
3 Ir 0.0000 0.5000 0.5000  4 Co 2.74, 4 Ca 2.74, 2 Ir 3.06
4 Ir 0.5000 0.0000 0.5000  4 Co 2.74, 4 Ca 2.74, 2 Ir 3.06

(5)
Computed, not measured: crystalline CaCoIr2 at its relaxed geometry at the PBE level of DFT.

V in Å³ per atom: 15.8
ΔE to the lowest computed polymorph in eV/atom: 0.151
Formation energy in eV/atom: 0.216

Cell lengths 2.9038, 4.6221, 4.7086 Å; angles 90.00, 90.00, 90.00 degrees
With the nearest neighbours (Å) after each atom.
Atoms (fractional coordinates):
1 Ca 0.0000 0.0000 0.0000  4 Ir 2.73, 4 Co 2.77, 2 Ca 2.90
2 Co 0.5000 0.0000 0.5000  4 Ir 2.73, 4 Ca 2.77, 2 Co 2.90
3 Ir 0.0000 0.5000 0.5000  4 Co 2.73, 6 Ir 2.77-2.90
4 Ir 0.5000 0.5000 0.0000  4 Ca 2.73, 6 Ir 2.77-2.90

(6)
Computed, not measured: crystalline CaCoIr at its relaxed geometry at the PBE level of DFT.

V in Å³ per atom: 18.3
ΔE to the lowest computed polymorph in eV/atom: 0.284
Formation energy in eV/atom: 0.058

Cell lengths 5.5796, 5.5796, 5.5796 Å; angles 149.29, 141.67, 49.90 degrees
With the nearest neighbours (Å) after each atom.
Atoms (fractional coordinates):
1 Ca 0.0000 0.0000 0.0000  1 Co 2.85, 5 Ir 2.93-3.17, 2 Ca 2.96
2 Co 0.7184 0.7184 0.0000  4 Ir 2.46
3 Ir 0.2899 0.2899 0.0000  4 Co 2.46

(7)
Computed, not measured: crystalline CaCoIr2 at its relaxed geometry at the PBE level of DFT.

V in Å³ per atom: 15.8
ΔE to the lowest computed polymorph in eV/atom: 0.250
Formation energy in eV/atom: 0.315

Cell lengths 9.0554, 9.0554, 9.0554 Å; angles 18.21, 18.21, 18.21 degrees
With the nearest neighbours (Å) after each atom.
Atoms (fractional coordinates):
1 Ca 0.0000 0.0000 0.0000  6 Ca 2.87, 6 Ir 2.96
2 Co 0.5000 0.5000 0.5000  6 Ir 2.59, 6 Co 2.87
3 Ir 0.2412 0.2412 0.2412  3 Co 2.59, 6 Ir 2.87
4 Ir 0.7588 0.7588 0.7588  3 Co 2.59, 6 Ir 2.87

(8)
Computed, not measured: crystalline CaCoIr at its relaxed geometry at the PBE level of DFT.

V in Å³ per atom: 20.2
ΔE to the lowest computed polymorph in eV/atom: 0.177
Formation energy in eV/atom: -0.049

Cell lengths 4.0097, 4.0097, 4.3616 Å; angles 90.00, 90.00, 120.00 degrees
With the nearest neighbours (Å) after each atom.
Atoms (fractional coordinates):
1 Ca 0.0000 0.0000 0.0000  6 Co 3.18, 6 Ir 3.18
2 Co 0.6667 0.3333 0.5000  3 Ir 2.32
3 Ir 0.3333 0.6667 0.5000  3 Co 2.32

Number 1: uncorrected energy -6.409 eV/atom. Number 2: uncorrected energy -4.420 eV/atom. Number 3: uncorrected energy -6.506 eV/atom. Number 4: uncorrected energy -6.374 eV/atom. Number 5: uncorrected energy -6.491 eV/atom. Number 6: uncorrected energy -5.932 eV/atom. Number 7: uncorrected energy -6.392 eV/atom. Number 8: uncorrected energy -6.039 eV/atom.